[1]
Here is UTaZn17 after structural relaxation from Alexandria via LeMat-Bulk. Energies are from GGA-PBE.

```
UTaZn17
1.0
0.1031 -6.3005 2.3318
3.8123 -2.6818 -4.8394
5.8906 0.3331 3.2148
U Zn Ta
1 17 1
Direct
0.6649 0.6649 0.6649
0.2971 0.6960 0.0062
0.3496 0.8721 0.3496
0.1049 0.1049 0.1049
0.9824 0.9824 0.5175
0.6960 0.2971 0.0062
0.6277 0.6277 0.1946
0.5175 0.9824 0.9824
0.3496 0.3496 0.8721
0.6277 0.1946 0.6277
0.9068 0.9068 0.9068
0.2971 0.0062 0.6960
0.8721 0.3496 0.3496
0.6960 0.0062 0.2971
0.0062 0.2971 0.6960
0.1946 0.6277 0.6277
0.9824 0.5175 0.9824
0.0062 0.6960 0.2971
0.3215 0.3215 0.3215
```

The total magnetization is 0.16 μB per atom. Its density of states at the Fermi level is 0.627 states/eV/atom. The density comes out at 8.59 g/cm3. Its total energy is -2.32 eV/atom.

=====

[2]
Here is ZrUTa after structural relaxation from Alexandria via LeMat-Bulk. Energies are from GGA-PBE.

```
ZrUTa
1.0
4.8027 0.0000 0.0000
0.0000 2.9384 0.0000
0.0000 1.4692 8.7108
U Zr Ta
2 2 2
Direct
0.2500 0.4648 0.0703
0.7500 0.5352 0.9297
0.2500 0.1270 0.7460
0.7500 0.8730 0.2540
0.2500 0.2920 0.4161
0.7500 0.7080 0.5839
```

The total magnetization is 0.00 μB per atom. Its density of states at the Fermi level is 1.912 states/eV/atom. The density comes out at 13.78 g/cm3. Its total energy is -10.37 eV/atom.

=====

[3]
Here is TaV3 after structural relaxation from Alexandria via LeMat-Bulk. Energies are from GGA-PBE.

```
TaV3
1.0
3.9347 0.0000 0.0000
0.0000 3.9347 0.0000
0.0000 0.0000 3.9347
V Ta
3 1
Direct
0.5000 0.5000 0.0000
0.5000 0.0000 0.5000
0.0000 0.5000 0.5000
0.0000 0.0000 0.0000
```

The total magnetization is 0.00 μB per atom. Its density of states at the Fermi level is 1.756 states/eV/atom. The energy above the lowest structure with this stoichiometry is 0.236 eV per atom. The density comes out at 9.10 g/cm3. Its total energy is -9.52 eV/atom.

=====

Number 1: energy relative to the elements 0.039 eV per atom. Number 2: energy relative to the elements 0.192 eV per atom. Number 3: energy relative to the elements 0.281 eV per atom.